Computed, not measured: an optimized crystal structure of MnMoAs2 at the PBE-GGA level of DFT.

abc: 3.496 4.351 9.496
angles: 90.00 90.00 90.00
Space group Cmm2 (No. 35)
Symmetry-distinct sites (fractional):
Mn: 0.000 0.000 0.000 [2 per cell]
Mo: 0.000 0.500 0.205 [2 per cell]
As: 0.000 0.000 0.415 [2 per cell]
As: 0.000 0.500 0.813 [2 per cell]

Results
**Electronic total energy**: -28.95 eV/f.u.
**Spin magnetization**: 2.2 μB per formula unit
**D(E_F)**: 5.4 states/eV per cell
**Mass density**: 6.9 g/cm3
**Distance to the lowest polymorph of the same formula**: 346.1 meV per atom
**Crystal system**: orthorhombic